Below is CdReMo2F after structural relaxation, with properties calculated at the PBE+U level.

Output
The calculation puts the magnetic moment at 5.7 μB/f.u. The value obtained for the total energy is -4.956 eV/atom. As for the crystal system: tetragonal.

a b c (Å): 5.163 4.072 5.163
angles (deg): 90.00 90.00 90.00
Fractional coordinates of all 5 atoms:
Re 0.000 0.000 0.000
Cd 0.500 0.500 0.500
Mo 0.000 0.000 0.500
Mo 0.500 0.000 0.000
F 0.000 0.500 0.000